Record 1
The following is a PBE-GGA calculation of a relaxed AsOs2Ru crystal, from the Alexandria database.

Unit cell a=4.6802 b=4.6802 c=4.6802 alpha=130.62 beta=130.62 gamma=72.41
Sites, in units of the cell vectors:
Os (0.5000, 0.5000, 0.0000)
Os (0.0000, 0.0000, 0.0000)
Ru (0.2500, 0.7500, 0.5000)
As (0.7500, 0.2500, 0.5000)

Results
Magnetization = 0.0 μB per formula unit
Fermi-level density of states = 3.53 states/eV/f.u.
Final energy = -34.5 eV per cell
Volume = 14.43 Å³/atom
E_form = 0.481 eV/atom

=====

Record 2
The following is a PBE-GGA calculation of a relaxed As2OsRuSe crystal, from the Alexandria database.

Unit cell a=4.6422 b=4.6422 c=5.1308 alpha=90.00 beta=90.00 gamma=90.00
Each line ends with the local moment (μB).
Sites, in units of the cell vectors:
As (0.0000, 0.5000, 0.0000)  -0.06
As (0.5000, 0.0000, 0.0000)  -0.06
Os (0.0000, 0.0000, 0.0000)  -0.12
Se (0.0000, 0.0000, 0.5000)  -0.07
Ru (0.5000, 0.5000, 0.5000)  1.41

Results
Polymorph energy (0 for the lowest one) = 0.000 eV/f.u.
Magnetization = 1.1 μB per formula unit
Fermi-level density of states = 6.35 states/eV/f.u.
Final energy = -27.2 eV per cell
Volume = 22.11 Å³/atom
Raw formation energy = 1213 meV per atom

=====

volume of number 1 (AsOs2Ru)?
14.43 Å³/atom

=====

Number 2 is which compound?
As2OsRuSe